The following is a DFT calculation (GGA-PBE) of crystalline BiAu3Br at its relaxed geometry.

Structure (extended XYZ):
```
5
Lattice="-0.915 5.308 -0.437 -1.921 0.085 5.050 4.967 1.010 1.873" Properties=species:S:1:pos:R:3 pbc="T T T"
Au -0.961 0.043 2.525
Au 2.484 0.505 0.936
Au -0.457 2.654 -0.219
Bi 0.000 0.000 0.000
Br 1.066 3.202 3.243
```

Properties
E above lowest polymorph   0.000 eV per atom
Volume   157.8 Å³/cell
SG   No. 221
Energy relative to the elements, uncorrected   0.569 eV per atom
Magnetic moment   0.0 μB/cell
Crystal system   cubic